[1]
This record from OQMD via LeMat-Bulk describes a relaxed Co13Re16 crystal. The functional is PBE-GGA.

Cell and atoms, written as POSCAR:
```
Co13Re16
1.0
-4.5486 4.5486 4.5486
4.5486 -4.5486 4.5486
4.5486 4.5486 -4.5486
Co Re
13 16
direct
0.6384 0.8235 0.6384 Co
0.1851 0.3616 0.0000 Co
0.8235 0.6384 0.6384 Co
0.8149 0.8149 0.1765 Co
0.0000 0.1851 0.3616 Co
0.8149 0.1765 0.8149 Co
0.3616 0.0000 0.1851 Co
0.0000 0.0000 0.0000 Co
0.1851 0.0000 0.3616 Co
0.6384 0.6384 0.8235 Co
0.1765 0.8149 0.8149 Co
0.3616 0.1851 0.0000 Co
0.0000 0.3616 0.1851 Co
0.6377 0.0000 0.0000 Re
0.3162 0.3162 0.7147 Re
0.0000 0.6838 0.3985 Re
0.6838 0.3985 0.0000 Re
0.7147 0.3162 0.3162 Re
0.6015 0.2853 0.6015 Re
0.0000 0.3985 0.6838 Re
0.3162 0.7147 0.3162 Re
0.2853 0.6015 0.6015 Re
0.3985 0.0000 0.6838 Re
0.6838 0.0000 0.3985 Re
0.3985 0.6838 0.0000 Re
0.3623 0.3623 0.3623 Re
0.0000 0.0000 0.6377 Re
0.0000 0.6377 0.0000 Re
0.6015 0.6015 0.2853 Re
```

Summary:
Final energy ... -9.953 eV per atom
Density ... 16.5 g/cm3
E above lowest polymorph ... 0.000 eV per atom
Total moment ... 0.527 μB per atom
V ... 376.43 Å³/cell

***

[2]
This record from OQMD via LeMat-Bulk describes a relaxed TaCoReSb crystal. The functional is PBE-GGA.

Cell and atoms, written as POSCAR:
```
TaCoReSb
1.0
-0.7766 -4.4116 0.3897
0.6139 -2.0502 3.9544
-3.5447 -1.4598 2.3497
Co Re Sb Ta
1 1 1 1
direct
0.7500 0.7500 0.7500 Co
0.2500 0.2500 0.2500 Re
0.0000 0.0000 0.0000 Sb
0.5000 0.5000 0.5000 Ta
```

Summary:
Final energy ... -8.738 eV per atom
Density ... 14.2 g/cm3
E above lowest polymorph ... 0.000 eV per atom
Total moment ... 0.494 μB per atom
V ... 64.28 Å³/cell

***

[3]
This record from OQMD via LeMat-Bulk describes a relaxed CoReSbW crystal. The functional is PBE-GGA.

Cell and atoms, written as POSCAR:
```
CoReSbW
1.0
3.8241 -0.5745 2.2146
-0.0688 -1.2014 4.2907
1.2932 -4.0956 1.1880
Co Re Sb W
1 1 1 1
direct
0.7500 0.7500 0.7500 Co
0.2500 0.2500 0.2500 Re
0.0000 0.0000 0.0000 Sb
0.5000 0.5000 0.5000 W
```

Summary:
Final energy ... -8.681 eV per atom
Density ... 14.6 g/cm3
E above lowest polymorph ... 0.000 eV per atom
Total moment ... 0.493 μB per atom
V ... 62.57 Å³/cell

***

[4]
This record from OQMD via LeMat-Bulk describes a relaxed YCoReSb crystal. The functional is PBE-GGA.

Cell and atoms, written as POSCAR:
```
YCoReSb
1.0
-2.2914 -1.9880 -3.6470
-3.7038 2.2173 -1.9667
0.3859 1.8654 -4.3444
Re Co Y Sb
1 1 1 1
direct
0.5000 0.5000 0.5000 Re
0.7500 0.7500 0.7500 Co
0.2500 0.2500 0.2500 Y
0.0000 0.0000 0.0000 Sb
```

Summary:
Final energy ... -6.958 eV per atom
Density ... 10.0 g/cm3
E above lowest polymorph ... 0.399 eV per atom
Total moment ... 0.899 μB per atom
V ... 75.48 Å³/cell

***

[5]
This record from OQMD via LeMat-Bulk describes a relaxed YCoReSb crystal. The functional is PBE-GGA.

Cell and atoms, written as POSCAR:
```
YCoReSb
1.0
0.0000 3.2801 3.2801
3.2801 0.0000 3.2801
3.2801 3.2801 0.0000
Y Co Re Sb
1 1 1 1
direct
0.5000 0.5000 0.5000 Y
0.7500 0.7500 0.7500 Co
0.2500 0.2500 0.2500 Re
0.0000 0.0000 0.0000 Sb
```

Summary:
Final energy ... -7.357 eV per atom
Density ... 10.7 g/cm3
E above lowest polymorph ... 0.000 eV per atom
Total moment ... 0.001 μB per atom
V ... 70.58 Å³/cell

***

[6]
This record from OQMD via LeMat-Bulk describes a relaxed ZnCoReSb crystal. The functional is PBE-GGA.

Cell and atoms, written as POSCAR:
```
ZnCoReSb
1.0
0.4491 1.6590 4.0239
1.4178 4.1057 0.5281
-2.7487 3.0997 1.4078
Co Zn Sb Re
1 1 1 1
direct
0.7500 0.7500 0.7500 Co
0.5000 0.5000 0.5000 Zn
0.0000 0.0000 0.0000 Sb
0.2500 0.2500 0.2500 Re
```

Summary:
Final energy ... -5.879 eV per atom
Density ... 12.1 g/cm3
E above lowest polymorph ... 0.000 eV per atom
Total moment ... 0.001 μB per atom
V ... 59.24 Å³/cell

***

[7]
This record from OQMD via LeMat-Bulk describes a relaxed ZrCoReSb crystal. The functional is PBE-GGA.

Cell and atoms, written as POSCAR:
```
ZrCoReSb
1.0
0.0000 3.2188 3.2188
3.2188 0.0000 3.2188
3.2188 3.2188 0.0000
Zr Co Re Sb
1 1 1 1
direct
0.5000 0.5000 0.5000 Zr
0.7500 0.7500 0.7500 Co
0.2500 0.2500 0.2500 Re
0.0000 0.0000 0.0000 Sb
```

Summary:
Final energy ... -8.067 eV per atom
Density ... 11.4 g/cm3
E above lowest polymorph ... 0.000 eV per atom
Total moment ... 0.250 μB per atom
V ... 66.70 Å³/cell

***

[8]
This record from OQMD via LeMat-Bulk describes a relaxed ScCoReSn crystal. The functional is PBE-GGA.

Cell and atoms, written as POSCAR:
```
ScCoReSn
1.0
3.6219 -2.6275 -0.5861
-0.5188 -4.4050 -0.8319
0.9517 -1.6511 -4.0907
Re Sc Sn Co
1 1 1 1
direct
0.2500 0.2500 0.2500 Re
0.5000 0.5000 0.5000 Sc
0.0000 0.0000 0.0000 Sn
0.7500 0.7500 0.7500 Co
```

Summary:
Final energy ... -7.436 eV per atom
Density ... 10.4 g/cm3
E above lowest polymorph ... 0.000 eV per atom
Total moment ... 0.096 μB per atom
V ... 64.99 Å³/cell